No. 1
Ca3Tb2AgSe6 after structural relaxation. Source: the Alexandria database, functional PBE-GGA.

Computed properties:
DFT total energy = -0.181 hartree per atom
Crystal system = monoclinic
Formation energy (no corrections) = -1.68 eV/atom
Density of states at the Fermi level = 3.65 states/eV/f.u.
V = 610.7 Å³/cell

Cell: 7.215 12.477 7.196 Å, 90.00 109.49 90.00°
Space group C2/m (No. 12)
One atom of each set of equivalent atoms:
Ca 0.000 0.000 0.000 (multiplicity 2)
Ca 0.000 0.337 0.000 (multiplicity 4)
Tb 0.000 0.167 0.500 (multiplicity 4)
Ag 0.000 0.500 0.500 (multiplicity 2)
Se 0.243 0.000 0.743 (multiplicity 4)
Se 0.248 0.169 0.254 (multiplicity 8)

---

No. 2
Ta4Nb2W after structural relaxation. Source: the Alexandria database, functional PBE-GGA.

Computed properties:
DFT total energy = -0.413 hartree per atom
Crystal system = monoclinic
Relative energy among the computed polymorphs = 0.0 kJ/mol of atoms
Density of states at the Fermi level = 7.18 states/eV/f.u.
Formation enthalpy at 0 K = 0.26 eV per atom
V = 127.6 Å³/cell

Cell: 4.823 2.691 10.118 Å, 90.00 103.70 90.00°
Space group P2/m (No. 10)
One atom of each set of equivalent atoms:
Ta 0.069 0.000 0.140 (multiplicity 2)
Ta 0.211 0.500 0.422 (multiplicity 2)
Nb 0.356 0.000 0.712 (multiplicity 2)
W 0.500 0.500 0.000 (multiplicity 1)

---

No. 3
CrHg2AuN after structural relaxation. Source: the Alexandria database, functional PBE-GGA.

Computed properties:
DFT total energy = -0.145 hartree per atom
Crystal system = tetragonal
Formation energy (no corrections) = 0.43 eV/atom
Density of states at the Fermi level = 1.98 states/eV/f.u.
V = 92.8 Å³/cell

Cell: 5.034 5.034 3.662 Å, 90.00 90.00 90.00°
Space group P4/mmm (No. 123)
One atom of each set of equivalent atoms:
Cr 0.000 0.000 0.000 (multiplicity 1)
Hg 0.000 0.500 0.500 (multiplicity 2)
Au 0.500 0.500 0.000 (multiplicity 1)
N 0.000 0.000 0.500 (multiplicity 1)

---

No. 4
CaBS2 after structural relaxation. Source: the Alexandria database, functional PBE-GGA.

Computed properties:
DFT total energy = -0.180 hartree per atom
Crystal system = trigonal
Formation energy (no corrections) = -0.66 eV/atom
Density of states at the Fermi level = 3.03 states/eV/f.u.
V = 293.9 Å³/cell

Cell: 4.2227 4.2227 19.0312 Å, 90.00 90.00 120.00°
Space group R-3m (No. 166, hexagonal axes)
One atom of each set of equivalent atoms:
Ca 0.0000 0.0000 0.0000 (multiplicity 3)
B 0.0000 0.0000 0.5000 (multiplicity 3)
S 0.0000 0.0000 0.4098 (multiplicity 6)

---

> Among the records above, which one has the lowest V?

CrHg2AuN

---

> Among the records above, which one has the lowest DFT total energy?

Ta4Nb2W